Here is an optimized crystal structure of RbNaTi2P2O10 from Alexandria via LeMat-Bulk. Energies are from PBE.

```
data_RbNaTi2P2O10
_cell_length_a 12.9900
_cell_length_b 6.4155
_cell_length_c 10.7260
_cell_angle_alpha 90.00
_cell_angle_beta 90.00
_cell_angle_gamma 90.00
_symmetry_space_group_name_H-M 'P n a 21'
_symmetry_Int_Tables_number 33
_symmetry_space_group_name_Hall 'P 2c -2n'
loop_
_atom_site_label
_atom_site_fract_x
_atom_site_fract_y
_atom_site_fract_z
Rb1 0.0947 0.1538 0.0000
Na1 0.1611 0.7492 0.7136
Ti1 0.1282 0.4817 0.4342
Ti2 0.2495 0.7502 0.1912
P1 0.0010 0.3415 0.6971
P2 0.1857 0.9894 0.4468
O1 0.0102 0.5200 0.3165
O2 0.0166 0.4841 0.5839
O3 0.0944 0.1916 0.7173
O4 0.0985 0.7927 0.1801
O5 0.1134 0.1759 0.4227
O6 0.1204 0.7934 0.4734
O7 0.2209 0.4480 0.5779
O8 0.2272 0.5203 0.3215
O9 0.2417 0.4586 0.8335
O10 0.2470 0.5231 0.0656
```

Calculated values
**Energy relative to the elements, uncorrected**: -2587 meV/atom
**DOS(E_F)**: 0.00 states/eV/cell
**Size of the total moment**: 0.00 μB/atom



Here is an optimized crystal structure of ErScCSe from Alexandria via LeMat-Bulk. Energies are from PBE.

```
data_ErScCSe
_cell_length_a 3.5938
_cell_length_b 3.5938
_cell_length_c 19.3712
_cell_angle_alpha 90.00
_cell_angle_beta 90.00
_cell_angle_gamma 120.00
_symmetry_space_group_name_H-M 'R 3 m'
_symmetry_Int_Tables_number 160
_symmetry_space_group_name_Hall 'R 3 -2"'
loop_
_atom_site_label
_atom_site_fract_x
_atom_site_fract_y
_atom_site_fract_z
Er1 0.0000 0.0000 0.0000
Sc1 0.0000 0.0000 0.2020
C1 0.0000 0.0000 0.5975
Se1 0.0000 0.0000 0.7733
```

Calculated values
**Energy relative to the elements, uncorrected**: -1108 meV/atom
**DOS(E_F)**: 0.25 states/eV/cell
**Size of the total moment**: 0.00 μB/atom



Here is an optimized crystal structure of LiAlGaAg from Alexandria via LeMat-Bulk. Energies are from PBE.

```
data_LiAlGaAg
_cell_length_a 4.2559
_cell_length_b 4.2559
_cell_length_c 7.1699
_cell_angle_alpha 90.00
_cell_angle_beta 90.00
_cell_angle_gamma 90.00
_symmetry_space_group_name_H-M 'I -4 m 2'
_symmetry_Int_Tables_number 119
_symmetry_space_group_name_Hall 'I -4 -2'
loop_
_atom_site_label
_atom_site_fract_x
_atom_site_fract_y
_atom_site_fract_z
Li1 0.0000 0.0000 0.0000
Al1 0.0000 0.0000 0.5000
Ga1 0.0000 0.5000 0.7500
Ag1 0.0000 0.5000 0.2500
```

Calculated values
**DOS(E_F)**: 1.29 states/eV/cell
**Calculated formation energy**: -0.19 eV/atom
**Size of the total moment**: 0.00 μB/atom



Here is an optimized crystal structure of SrCdI2N from Alexandria via LeMat-Bulk. Energies are from PBE.

```
data_SrCdI2N
_cell_length_a 6.4917
_cell_length_b 6.4917
_cell_length_c 5.0672
_cell_angle_alpha 90.00
_cell_angle_beta 90.00
_cell_angle_gamma 90.00
_symmetry_space_group_name_H-M 'P 4/m m m'
_symmetry_Int_Tables_number 123
_symmetry_space_group_name_Hall '-P 4 2'
loop_
_atom_site_label
_atom_site_fract_x
_atom_site_fract_y
_atom_site_fract_z
Sr1 0.0000 0.0000 0.0000
Cd1 0.5000 0.5000 0.5000
I1 0.0000 0.5000 0.0000
N1 0.0000 0.0000 0.5000
```

Calculated values
**Energy relative to the elements, uncorrected**: 102 meV/atom
**DOS(E_F)**: 4.75 states/eV/cell
**Energy above the lowest structure with this stoichiometry**: 163.3 meV per atom
**Size of the total moment**: 0.50 μB/atom



Here is an optimized crystal structure of TaNiBiB2 from Alexandria via LeMat-Bulk. Energies are from PBE.

```
data_TaNiBiB2
_cell_length_a 4.3427
_cell_length_b 4.3427
_cell_length_c 4.7399
_cell_angle_alpha 90.00
_cell_angle_beta 90.00
_cell_angle_gamma 90.00
_symmetry_space_group_name_H-M 'P 4/m m m'
_symmetry_Int_Tables_number 123
_symmetry_space_group_name_Hall '-P 4 2'
loop_
_atom_site_label
_atom_site_fract_x
_atom_site_fract_y
_atom_site_fract_z
Ta1 0.0000 0.0000 0.0000
Ni1 0.0000 0.0000 0.5000
Bi1 0.5000 0.5000 0.5000
B1 0.0000 0.5000 0.0000
```

Calculated values
**DOS(E_F)**: 3.39 states/eV/cell
**Calculated formation energy**: 1.21 eV/atom
**Size of the total moment**: 0.00 μB/atom



Here is an optimized crystal structure of TmGa3Ni2 from Alexandria via LeMat-Bulk. Energies are from PBE.

```
data_TmGa3Ni2
_cell_length_a 16.0419
_cell_length_b 3.9117
_cell_length_c 9.4849
_cell_angle_alpha 90.00
_cell_angle_beta 103.95
_cell_angle_gamma 90.00
_symmetry_space_group_name_H-M 'C 1 2/m 1'
_symmetry_Int_Tables_number 12
_symmetry_space_group_name_Hall '-C 2y'
loop_
_atom_site_label
_atom_site_fract_x
_atom_site_fract_y
_atom_site_fract_z
Tm1 0.0000 0.0000 0.0000
Tm2 0.1465 0.0000 0.6948
Ga1 0.0000 0.5000 0.5000
Ga2 0.0543 0.0000 0.3518
Ga3 0.1405 0.5000 0.1919
Ga4 0.1437 0.5000 0.9323
Ga5 0.2251 0.0000 0.3753
Ni1 0.0077 0.5000 0.7674
Ni2 0.1416 0.5000 0.4475
Ni3 0.2108 0.0000 0.0869
```

Calculated values
**DOS(E_F)**: 18.44 states/eV/cell
**Calculated formation energy**: -0.53 eV/atom
**Size of the total moment**: 0.00 μB/atom



Here is an optimized crystal structure of PtCl3O from Alexandria via LeMat-Bulk. Energies are from PBE.

```
data_PtCl3O
_cell_length_a 4.7839
_cell_length_b 4.7839
_cell_length_c 4.7839
_cell_angle_alpha 90.00
_cell_angle_beta 90.00
_cell_angle_gamma 90.00
_symmetry_space_group_name_H-M 'P m -3 m'
_symmetry_Int_Tables_number 221
_symmetry_space_group_name_Hall '-P 4 2 3'
loop_
_atom_site_label
_atom_site_fract_x
_atom_site_fract_y
_atom_site_fract_z
Pt1 0.0000 0.0000 0.0000
Cl1 0.0000 0.0000 0.5000
O1 0.5000 0.5000 0.5000
```

Calculated values
**Energy relative to the elements, uncorrected**: 732 meV/atom
**DOS(E_F)**: 15.00 states/eV/cell
**Energy above the lowest structure with this stoichiometry**: 1040.4 meV per atom
**Size of the total moment**: 0.00 μB/atom



Here is an optimized crystal structure of HgRuBr2 from Alexandria via LeMat-Bulk. Energies are from PBE.

```
data_HgRuBr2
_cell_length_a 3.9858
_cell_length_b 3.9858
_cell_length_c 13.0538
_cell_angle_alpha 90.00
_cell_angle_beta 90.00
_cell_angle_gamma 90.00
_symmetry_space_group_name_H-M 'I -4 m 2'
_symmetry_Int_Tables_number 119
_symmetry_space_group_name_Hall 'I -4 -2'
loop_
_atom_site_label
_atom_site_fract_x
_atom_site_fract_y
_atom_site_fract_z
Hg1 0.0000 0.0000 0.0000
Ru1 0.0000 0.5000 0.7500
Br1 0.0000 0.0000 0.5000
Br2 0.0000 0.5000 0.2500
```

Calculated values
**Energy relative to the elements, uncorrected**: 702 meV/atom
**DOS(E_F)**: 10.83 states/eV/cell
**Energy above the lowest structure with this stoichiometry**: 731.9 meV per atom
**Size of the total moment**: 0.65 μB/atom